# Li3GeAu3

A geometry-optimized Li3GeAu3 structure (PBE, Alexandria via LeMat-Bulk).

Values from the calculation:
**M_tot**: 0.00 μB/atom
**Electronic total energy**: -3.2937 eV/atom
**Space group**: No. 176

a b c (Å): 4.726 7.413 7.413
angles (deg): 120.00 90.00 90.00
Positions (direct):
Li  0.750  0.626  0.529
Li  0.750  0.471  0.097
Li  0.750  0.903  0.374
Li  0.250  0.374  0.471
Li  0.250  0.529  0.903
Li  0.250  0.097  0.626
Ge  0.250  0.667  0.333
Ge  0.750  0.333  0.667
Au  0.250  0.809  0.737
Au  0.250  0.263  0.072
Au  0.250  0.928  0.191
Au  0.750  0.191  0.263
Au  0.750  0.737  0.928
Au  0.750  0.072  0.809